! Dy3Y2TmBi2Os (PBE, relaxed); values from VASP
&SYSTEM
  ibrav = 0, nat = 9, ntyp = 5
/
ATOMIC_SPECIES
Bi 208.98 Bi.upf
Dy 162.50 Dy.upf
Os 190.23 Os.upf
Tm 168.93 Tm.upf
Y 88.91 Y.upf
ATOMIC_POSITIONS angstrom
Bi -1.0584 -4.5587 2.3510
Bi -2.6813 -0.6453 4.4523
Dy 0.0978 -1.5102 2.8880
Dy 1.1478 -5.3871 4.7094
Dy -0.7459 -0.8204 7.1615
Os 0.2468 -3.8119 7.2896
Tm -1.8036 -3.6255 5.3591
Y -1.3933 -2.5065 -0.1596
Y -2.5374 0.2525 1.3218
CELL_PARAMETERS angstrom
-3.9893 -1.3483 -0.5700
2.5774 -7.8389 0.5039
-2.3282 3.9904 6.8557
! Crystal system = orthorhombic
! VASP energy = -6.166 eV/atom